[1]
Here is a relaxed structure of TeSeO3 from Alexandria via LeMat-Bulk. Energies are from GGA-PBE.

extended XYZ file:
```
5
Lattice="4.100 0.000 0.000 0.000 4.100 0.000 0.000 0.000 4.100" Properties=species:S:1:pos:R:3 pbc="T T T"
Te 0.000 0.000 0.000
Se 2.050 2.050 2.050
O 0.000 0.000 2.050
O 0.000 2.050 0.000
O 2.050 0.000 0.000
```

Properties
Formation energy from raw total energies   0.02 eV per atom

---

[2]
Here is a relaxed structure of K2LiSnBr6 from Alexandria via LeMat-Bulk. Energies are from GGA-PBE.

extended XYZ file:
```
20
Lattice="3.909 2.257 13.544 -3.909 2.257 13.544 0.000 -4.514 13.544" Properties=species:S:1:pos:R:3 pbc="T T T"
K 0.000 0.000 4.349
K 0.000 0.000 12.697
K 0.000 0.000 27.935
K 0.000 0.000 36.283
Li 0.000 0.000 16.788
Li 0.000 0.000 23.844
Sn 0.000 0.000 0.000
Sn 0.000 0.000 20.316
Br -1.853 -1.070 18.750
Br 0.000 -2.192 15.350
Br -1.898 1.096 15.350
Br -1.898 -1.096 25.282
Br 0.000 -2.139 21.882
Br -1.853 1.070 21.882
Br 1.853 -1.070 18.750
Br 0.000 2.139 18.750
Br 1.898 1.096 15.350
Br 1.898 -1.096 25.282
Br 0.000 2.192 25.282
Br 1.853 1.070 21.882
```

Properties
Formation energy from raw total energies   -1.25 eV per atom